Rb4Na2In: optimized geometry, PBE.

Computed properties:
Symmetry = No. 139

Lattice parameters (Å, degrees): 7.1961 7.1961 11.1233 108.87 108.87 90.00
Positions (direct):
Na: 0.6041 0.6041 0.2082
Na: 0.3959 0.3959 0.7917
Rb: 0.8111 0.8111 0.6221
Rb: 0.1889 0.1889 0.3779
Rb: 0.0000 0.5000 0.0000
Rb: 0.5000 0.0000 0.0000
In: 0.0000 0.0000 0.0000

=====

Sc2PtW: optimized geometry, PBE.

Computed properties:
Symmetry = No. 166

Lattice parameters (Å, degrees): 9.3767 9.3767 9.3767 18.58 18.58 18.58
Positions (direct):
Pt: 0.7500 0.7500 0.7500
Sc: 0.0023 0.0023 0.0023
Sc: 0.4977 0.4977 0.4977
W: 0.2500 0.2500 0.2500

=====

GaP2Ir: optimized geometry, PBE.

Computed properties:
Symmetry = No. 122

Lattice parameters (Å, degrees): 5.5078 5.5078 6.4894 64.89 64.89 90.00
Positions (direct):
P: 0.6455 0.1250 0.2500
P: 0.1045 0.6250 0.2500
P: 0.3750 0.3545 0.7500
P: 0.8750 0.8955 0.7500
Ir: 0.0000 0.0000 0.0000
Ir: 0.7500 0.2500 0.5000
Ga: 0.5000 0.5000 0.0000
Ga: 0.2500 0.7500 0.5000

=====

BaGe4Rh6: optimized geometry, PBE.

Computed properties:
Symmetry = No. 187

Lattice parameters (Å, degrees): 3.9296 7.3155 7.3155 120.00 90.00 90.00
Positions (direct):
Ba: 0.0000 0.0000 0.0000
Ge: 0.5000 0.7974 0.5947
Ge: 0.5000 0.4053 0.2026
Ge: 0.5000 0.7974 0.2026
Ge: 0.0000 0.3333 0.6667
Rh: 0.0000 0.5333 0.0667
Rh: 0.5000 0.5927 0.7963
Rh: 0.0000 0.5333 0.4667
Rh: 0.0000 0.9333 0.4667
Rh: 0.5000 0.2037 0.7963
Rh: 0.5000 0.2037 0.4073

=====

What are the DFT formation energy values for these records? In order: 0.15; -0.14; -0.23; -0.60 eV/atom.
What are the E_tot values for these records? In order: -1.166; -8.052; -5.911; -6.461 eV per atom.